# 1
A plane-wave DFT calculation with PBE-GGA was carried out for a relaxed YTeN2O crystal.

abc: 4.065 4.065 6.750
angles: 90.00 90.00 90.00
Space group P4/mmm (No. 123)
Inequivalent atoms, fractional coordinates:
Y (0.000, 0.000, 0.000)
Te (0.000, 0.000, 0.500)
N (0.000, 0.500, 0.000)
O (0.500, 0.500, 0.500)

Properties
- formation energy without anion corrections (kJ/mol of atoms) = 123.9
- N(E_F) (states/eV/f.u.) = 6.2
- total magnetic moment (μB/f.u.) = 0.8
- V (Å³/atom) = 22.310
- crystal system = tetragonal

# 2
A plane-wave DFT calculation with PBE-GGA was carried out for a relaxed ZnTeN2O crystal.

abc: 3.938 3.938 3.822
angles: 90.00 90.00 90.00
Space group P4/mmm (No. 123)
Inequivalent atoms, fractional coordinates:
Zn (0.000, 0.000, 0.000)
Te (0.500, 0.500, 0.500)
N (0.000, 0.500, 0.000)
O (0.000, 0.000, 0.500)

Properties
- formation energy without anion corrections (kJ/mol of atoms) = 113.6
- N(E_F) (states/eV/f.u.) = 3.9
- total magnetic moment (μB/f.u.) = 0.1
- V (Å³/atom) = 11.854
- crystal system = tetragonal

# 3
A plane-wave DFT calculation with PBE-GGA was carried out for a relaxed ZnTeN2O crystal.

abc: 3.988 3.988 4.302
angles: 90.00 90.00 90.00
Space group P4/mmm (No. 123)
Inequivalent atoms, fractional coordinates:
Zn (0.000, 0.000, 0.000)
Te (0.500, 0.500, 0.000)
N (0.000, 0.500, 0.500)
O (0.500, 0.500, 0.500)

Properties
- formation energy without anion corrections (kJ/mol of atoms) = 180.5
- N(E_F) (states/eV/f.u.) = 2.0
- total magnetic moment (μB/f.u.) = 2.1
- V (Å³/atom) = 13.683
- crystal system = tetragonal

# 4
A plane-wave DFT calculation with PBE-GGA was carried out for a relaxed ZnTe2NO crystal.

abc: 4.757 4.757 3.985
angles: 90.00 90.00 90.00
Space group P4/mmm (No. 123)
Inequivalent atoms, fractional coordinates:
Zn (0.000, 0.000, 0.000)
Te (0.000, 0.500, 0.500)
N (0.500, 0.500, 0.000)
O (0.500, 0.500, 0.500)

Properties
- formation energy without anion corrections (kJ/mol of atoms) = 102.7
- N(E_F) (states/eV/f.u.) = 3.6
- total magnetic moment (μB/f.u.) = 1.6
- V (Å³/atom) = 18.030
- ΔE to the lowest computed polymorph (eV per atom) = 0.000
- crystal system = tetragonal

# 5
A plane-wave DFT calculation with PBE-GGA was carried out for a relaxed ZnTeN2O crystal.

abc: 4.004 4.004 3.907
angles: 90.00 90.00 90.00
Space group P4/mmm (No. 123)
Inequivalent atoms, fractional coordinates:
Zn (0.000, 0.000, 0.000)
Te (0.500, 0.500, 0.500)
N (0.000, 0.500, 0.500)
O (0.500, 0.500, 0.000)

Properties
- formation energy without anion corrections (kJ/mol of atoms) = 87.0
- N(E_F) (states/eV/f.u.) = 0.9
- total magnetic moment (μB/f.u.) = 0.0
- V (Å³/atom) = 12.528
- crystal system = tetragonal

# 6
A plane-wave DFT calculation with PBE-GGA was carried out for a relaxed ZnTeN2O crystal.

abc: 3.638 3.638 6.620
angles: 90.00 90.00 90.00
Space group P4/mmm (No. 123)
Inequivalent atoms, fractional coordinates:
Zn (0.000, 0.000, 0.000)
Te (0.000, 0.000, 0.500)
N (0.000, 0.500, 0.000)
O (0.500, 0.500, 0.500)

Properties
- formation energy without anion corrections (kJ/mol of atoms) = 150.6
- N(E_F) (states/eV/f.u.) = 3.5
- total magnetic moment (μB/f.u.) = 2.8
- V (Å³/atom) = 17.524
- crystal system = tetragonal

# 7
A plane-wave DFT calculation with PBE-GGA was carried out for a relaxed ZnTe2NO crystal.

abc: 5.371 5.371 3.569
angles: 90.00 90.00 90.00
Space group P4/mmm (No. 123)
Inequivalent atoms, fractional coordinates:
Zn (0.000, 0.000, 0.000)
Te (0.000, 0.500, 0.000)
N (0.000, 0.000, 0.500)
O (0.500, 0.500, 0.500)

Properties
- formation energy without anion corrections (kJ/mol of atoms) = 117.8
- N(E_F) (states/eV/f.u.) = 4.4
- total magnetic moment (μB/f.u.) = 1.9
- V (Å³/atom) = 20.592
- ΔE to the lowest computed polymorph (eV per atom) = 0.157
- crystal system = tetragonal

# 8
A plane-wave DFT calculation with PBE-GGA was carried out for a relaxed ZnTe2NO crystal.

abc: 4.941 4.941 3.918
angles: 90.00 90.00 90.00
Space group P4/mmm (No. 123)
Inequivalent atoms, fractional coordinates:
Zn (0.000, 0.000, 0.000)
Te (0.000, 0.500, 0.500)
N (0.500, 0.500, 0.000)
O (0.000, 0.000, 0.500)

Properties
- formation energy without anion corrections (kJ/mol of atoms) = 102.7
- N(E_F) (states/eV/f.u.) = 4.3
- total magnetic moment (μB/f.u.) = 0.0
- V (Å³/atom) = 19.133
- ΔE to the lowest computed polymorph (eV per atom) = 0.001
- crystal system = tetragonal